## MgOsRu2F (PBE)

Data for an optimized crystal structure of MgOsRu2F.

abc: 4.3325 3.7474 4.3325
angles: 90.00 90.00 90.00
Last column: magnetic moment on the atom in μB.
Sites, in units of the cell vectors:
1 Ru 0.0000 0.0000 0.5000  0.16
2 Ru 0.5000 0.0000 0.0000  0.15
3 Mg 0.0000 0.5000 0.0000  0.00
4 Os 0.5000 0.5000 0.5000  0.38
5 F 0.0000 0.0000 0.0000  0.00

Computed properties:
total magnetic moment	0.1409	μB per atom
uncorrected energy	-30.7	eV/cell